A geometry-optimized K2ScCrO6 structure. Source: Alexandria, functional GGA+U.

a = 6.105 Å, b = 6.105 Å, c = 5.327 Å
α = 90.00°, β = 90.00°, γ = 120.00°
Fractional coordinates of all 10 atoms:
K 0.333 0.667 0.361
K 0.667 0.333 0.639
Sc 0.000 0.000 0.000
Cr 0.000 0.000 0.500
O 0.138 0.276 0.712
O 0.138 0.862 0.712
O 0.276 0.138 0.288
O 0.724 0.862 0.712
O 0.862 0.138 0.288
O 0.862 0.724 0.288

Output
- Space group: P-3m1, No. 164
- Crystal system: trigonal
- Uncorrected energy: -6.1986 eV per atom